Rb2Fe3F8: optimized geometry, PBE+U.

```
data_Rb2Fe3F8
_cell_length_a 13.173
_cell_length_b 6.643
_cell_length_c 5.587
_cell_angle_alpha 90.00
_cell_angle_beta 109.55
_cell_angle_gamma 90.00
_symmetry_space_group_name_H-M 'C 1 2/m 1'
_symmetry_Int_Tables_number 12
loop_
_symmetry_equiv_pos_as_xyz
'x,y,z'
'-x,-y,-z'
'-x,y,-z'
'x,-y,z'
'x+1/2,y+1/2,z'
'-x+1/2,-y+1/2,-z'
'-x+1/2,y+1/2,-z'
'x+1/2,-y+1/2,z'
loop_
_atom_site_label
_atom_site_fract_x
_atom_site_fract_y
_atom_site_fract_z
_atom_site_occupancy
Rb1 0.220 0.000 0.177 1
Fe1 0.000 0.244 0.500 1
Fe2 0.000 0.500 0.000 1
F1 0.088 0.500 0.403 1
F2 0.089 0.288 0.875 1
F3 0.100 0.000 0.487 1
```

Properties
- raw total energy (eV per cell) = -134.5
- theoretical density (Mg/m³) = 3.54
- M_tot (μB/f.u.) = 12.0